1.
First-principles (PBE) data for an optimized crystal structure of SmSiSb, as listed in OQMD via LeMat-Bulk.

```
SmSiSb
1.0
3.540 -3.220 0.998
2.851 0.639 3.919
-0.427 -2.987 3.846
Sb Si Sm
1 1 1
Cartesian
1.491 -1.392 2.191 Sb
0.000 0.000 0.000 Si
4.474 -4.176 6.573 Sm
```

total moment: 0.0 μB/f.u.
energy relative to the lowest polymorph listed for this composition: 0.00 eV/f.u.
theoretical density: 6.0 g/cm3

2.
First-principles (PBE) data for an optimized crystal structure of SiTcSb, as listed in OQMD via LeMat-Bulk.

```
SiTcSb
1.0
0.000 3.071 3.071
3.071 0.000 3.071
3.071 3.071 0.000
Tc Si Sb
1 1 1
Cartesian
0.000 0.000 0.000 Tc
4.606 4.606 4.606 Si
1.535 1.535 1.535 Sb
```

total moment: 0.0 μB/f.u.
energy relative to the lowest polymorph listed for this composition: 0.00 eV/f.u.
theoretical density: 7.1 g/cm3

3.
First-principles (PBE) data for an optimized crystal structure of Si2Tc2Sb, as listed in OQMD via LeMat-Bulk.

```
Si2Tc2Sb
1.0
-0.461 5.726 3.849
-4.940 3.737 3.073
2.950 -6.095 -1.403
Tc Si Sb
2 2 1
Cartesian
-2.081 3.646 2.667 Tc
-3.320 5.817 4.255 Tc
-2.346 1.187 2.565 Si
-0.106 2.182 2.953 Si
0.000 0.000 0.000 Sb
```

total moment: 0.5 μB/f.u.
theoretical density: 7.8 g/cm3
total energy: -36.90 eV for the cell shown

4.
First-principles (PBE) data for an optimized crystal structure of ThSiSb, as listed in OQMD via LeMat-Bulk.

```
ThSiSb
1.0
-1.573 0.230 4.609
0.990 3.922 2.721
-3.569 3.094 1.206
Th Sb Si
1 1 1
Cartesian
-3.114 5.435 6.401 Th
-1.038 1.812 2.134 Sb
0.000 0.000 0.000 Si
```

total moment: 0.0 μB/f.u.
theoretical density: 7.7 g/cm3
total energy: -17.38 eV for the cell shown

5.
First-principles (PBE) data for an optimized crystal structure of TmSiSb, as listed in OQMD via LeMat-Bulk.

```
TmSiSb
1.0
0.000 3.390 3.390
3.390 0.000 3.390
3.390 3.390 0.000
Si Tm Sb
1 1 1
Cartesian
0.000 0.000 0.000 Si
5.085 5.085 5.085 Tm
1.695 1.695 1.695 Sb
```

total moment: 0.0 μB/f.u.
energy relative to the lowest polymorph listed for this composition: 0.00 eV/f.u.
theoretical density: 6.8 g/cm3

6.
First-principles (PBE) data for an optimized crystal structure of TmSiSb, as listed in OQMD via LeMat-Bulk.

```
TmSiSb
1.0
0.739 3.343 3.495
-3.750 2.658 1.676
-1.714 -0.764 4.518
Si Sb Tm
1 1 1
Cartesian
-3.544 3.927 7.267 Si
-1.181 1.309 2.422 Sb
0.000 0.000 0.000 Tm
```

total moment: 0.0 μB/f.u.
energy relative to the lowest polymorph listed for this composition: 0.21 eV/f.u.
theoretical density: 6.4 g/cm3

7.
First-principles (PBE) data for an optimized crystal structure of ZnSi2Sb, as listed in OQMD via LeMat-Bulk.

```
ZnSi2Sb
1.0
0.000 3.343 3.343
3.343 0.000 3.343
3.343 3.343 0.000
Zn Sb Si
1 1 2
Cartesian
3.343 3.343 3.343 Zn
5.014 5.014 5.014 Sb
0.000 0.000 0.000 Si
1.671 1.671 1.671 Si
```

theoretical density: 5.4 g/cm3
total energy: -14.16 eV for the cell shown

8.
First-principles (PBE) data for an optimized crystal structure of ZrSiSb, as listed in OQMD via LeMat-Bulk.

```
ZrSiSb
1.0
-5.056 1.649 -4.963
-0.651 -3.535 -0.512
-6.301 0.220 6.491
Si Zr Sb
4 4 4
Cartesian
-3.735 0.130 -2.592 Si
-3.321 -0.620 2.067 Si
-8.686 -1.046 -1.051 Si
-8.273 -1.796 3.609 Si
-6.493 -1.150 -3.119 Zr
-3.974 -1.974 -0.629 Zr
-8.033 0.308 1.645 Zr
-5.514 -0.516 4.135 Zr
-10.599 -1.028 1.257 Sb
-1.408 -0.638 -0.240 Sb
-5.983 0.258 -0.613 Sb
-6.025 -1.924 1.630 Sb
```

total moment: 0.0 μB/f.u.
theoretical density: 6.7 g/cm3
total energy: -77.26 eV for the cell shown

9.
First-principles (PBE) data for an optimized crystal structure of ZrSiSb2, as listed in OQMD via LeMat-Bulk.

```
ZrSiSb2
1.0
2.300 -1.029 4.379
-2.719 -1.461 4.000
0.286 -4.769 1.644
Zr Si Sb
1 1 2
Cartesian
-0.066 -3.629 5.011 Zr
-0.099 -5.444 7.517 Si
-0.033 -1.815 2.506 Sb
0.000 0.000 0.000 Sb
```

total moment: 0.2 μB/f.u.
theoretical density: 6.6 g/cm3
total energy: -21.19 eV for the cell shown

10.
First-principles (PBE) data for an optimized crystal structure of Zr6SiSb2, as listed in OQMD via LeMat-Bulk.

```
Zr6SiSb2
1.0
7.581 0.000 0.000
-3.790 6.565 0.000
0.000 0.000 3.945
Zr Sb Si
6 2 1
Cartesian
1.500 2.599 0.000 Zr
1.834 0.000 1.972 Zr
-0.917 1.588 1.972 Zr
-2.290 3.966 0.000 Zr
4.580 0.000 0.000 Zr
2.873 4.976 1.972 Zr
0.000 4.377 1.972 Sb
3.790 2.188 1.972 Sb
0.000 0.000 0.000 Si
```

total moment: 0.0 μB/f.u.
theoretical density: 6.9 g/cm3
total energy: -71.49 eV for the cell shown

11.
First-principles (PBE) data for an optimized crystal structure of ZrSiSb, as listed in OQMD via LeMat-Bulk.

```
ZrSiSb
1.0
0.000 3.275 3.275
3.275 0.000 3.275
3.275 3.275 0.000
Zr Si Sb
1 1 1
Cartesian
4.913 4.913 4.913 Zr
0.000 0.000 0.000 Si
1.638 1.638 1.638 Sb
```

total moment: 0.0 μB/f.u.
theoretical density: 5.7 g/cm3
total energy: -17.69 eV for the cell shown

12.
First-principles (PBE) data for an optimized crystal structure of Sm2Sb, as listed in OQMD via LeMat-Bulk.

```
Sm2Sb
1.0
6.867 0.000 0.000
0.000 4.931 0.000
0.000 0.000 10.317
Sm Sb
8 4
Cartesian
4.020 1.233 7.304 Sm
2.327 3.699 9.775 Sm
5.760 3.699 5.700 Sm
0.587 1.233 8.171 Sm
2.846 3.699 3.013 Sm
6.280 3.699 2.145 Sm
1.106 1.233 4.616 Sm
4.540 1.233 0.542 Sm
5.567 3.699 9.027 Sb
1.300 1.233 1.290 Sb
4.733 1.233 3.868 Sb
2.134 3.699 6.448 Sb
```

total moment: 0.0 μB/f.u.
theoretical density: 8.0 g/cm3
total energy: -63.42 eV for the cell shown

13.
First-principles (PBE) data for an optimized crystal structure of Sm2Sb, as listed in OQMD via LeMat-Bulk.

```
Sm2Sb
1.0
0.000 4.460 4.460
4.460 0.000 4.460
4.460 4.460 0.000
Sm Sb
4 2
Cartesian
3.345 5.575 3.345 Sm
5.575 5.575 5.575 Sm
5.575 3.345 3.345 Sm
3.345 3.345 5.575 Sm
2.230 2.230 2.230 Sb
0.000 0.000 0.000 Sb
```

total moment: 0.0 μB/f.u.
theoretical density: 7.9 g/cm3
total energy: -27.85 eV for the cell shown